Entry from Alexandria: a relaxed structure of GeAs2WBr (PBE).

Cell lengths 4.9205, 4.9205, 4.9654 Å; angles 90.00, 90.00, 90.00 degrees
With the nearest neighbours (Å) after each atom.
Fractional positions:
As1 0.0000 0.5000 0.0000  2 Ge 2.46
As2 0.5000 0.0000 0.0000  2 Ge 2.46
W1 0.5000 0.5000 0.5000  4 Br 3.48, 8 As 3.50
Ge1 0.0000 0.0000 0.0000  4 As 2.46, 2 Br 2.48
Br1 0.0000 0.0000 0.5000  2 Ge 2.48

* space group: No. 123
* formation energy (no corrections): 7.29 eV/f.u.
* VASP energy: -4.25 eV/atom
* E above lowest polymorph: 374.6 kJ/mol of formula units
* DOS at the Fermi energy: 0.76 states/eV per atom